## TlZn2Hg2 (PBE-GGA)

Data for an optimized crystal structure of TlZn2Hg2.

```
TlZn2Hg2
1.0
8.017 0.000 0.000
0.000 8.017 0.000
0.000 0.000 3.548
Zn Tl Hg
4 2 4
direct
0.384 0.884 0.000
0.884 0.616 0.000
0.616 0.116 0.000
0.116 0.384 0.000
0.000 0.000 0.000
0.500 0.500 0.000
0.183 0.683 0.500
0.683 0.817 0.500
0.817 0.317 0.500
0.317 0.183 0.500
```

## Properties
**DFT formation energy**: 0.09 eV/atom
**V**: 228.0 Å³/cell
**Distance to the lowest polymorph of the same formula**: 5 meV/atom

## Hf3PaP4 (PBE-GGA)

Data for an optimized crystal structure of Hf3PaP4.

```
Hf3PaP4
1.0
-2.742 -0.539 2.573
4.380 -2.398 4.172
2.450 4.816 3.625
P Pa Hf
4 1 3
direct
0.000 0.762 0.738
0.500 0.755 0.255
0.000 0.238 0.262
0.500 0.245 0.745
0.500 0.500 0.000
0.500 0.000 0.500
0.000 0.000 0.000
0.000 0.500 0.500
```

## Properties
**DFT formation energy**: -1.27 eV/atom
**V**: 151.3 Å³/cell

## LaAs2Rh (PBE-GGA)

Data for an optimized crystal structure of LaAs2Rh.

```
LaAs2Rh
1.0
-0.289 0.048 4.505
-4.370 -0.916 -0.271
0.756 -4.528 0.096
As Rh La
2 1 1
direct
0.000 0.046 0.951
0.500 0.049 0.304
0.500 0.875 0.798
0.000 0.530 0.446
```

## Properties
**DFT formation energy**: -0.78 eV/atom
**V**: 92.6 Å³/cell

Per-record M_tot, μB per formula unit: 0.00 0.00 0.00
Per-record E, eV per cell: -10.09 -71.14 -24.68